Record 1
Computed, not measured: an optimized crystal structure of LaPuAgPb at the PBE-GGA level of DFT.

* D(E_F): 11.5 states/eV per cell
* raw total energy: -26.71 eV for the cell shown
* E_form: -0.222 eV/atom

a b c (Å): 5.461 5.461 5.461
angles (deg): 60.00 60.00 60.00
Each line ends with the local moment (μB).
Fractional coordinates of all 4 atoms:
Ag 0.250 0.250 0.250  0.03
La 0.000 0.000 0.000  0.16
Pb 0.750 0.750 0.750  -0.06
Pu 0.500 0.500 0.500  5.53

Record 2
Computed, not measured: an optimized crystal structure of La2AgSbPb at the PBE-GGA level of DFT.

* formation energy from raw total energies: 0.17 eV/atom
* D(E_F): 4.8 states/eV per cell
* raw total energy: -19.70 eV for the cell shown

a b c (Å): 6.035 5.738 6.035
angles (deg): 90.00 90.00 90.00
Fractional coordinates of all 5 atoms:
Sb 0.000 0.000 0.000
Ag 0.500 0.500 0.500
La 0.500 0.000 0.000
La 0.000 0.000 0.500
Pb 0.000 0.500 0.000

Record 3
Computed, not measured: an optimized crystal structure of LaAg2SbPb at the PBE-GGA level of DFT.

* formation energy from raw total energies: 0.19 eV/atom
* D(E_F): 2.3 states/eV per cell
* raw total energy: -17.52 eV for the cell shown

a b c (Å): 5.155 6.164 5.155
angles (deg): 90.00 90.00 90.00
Fractional coordinates of all 5 atoms:
Ag 0.000 0.000 0.500
Ag 0.500 0.000 0.000
Sb 0.000 0.500 0.000
La 0.500 0.500 0.500
Pb 0.000 0.000 0.000

Record 4
Computed, not measured: an optimized crystal structure of LaAgPbSe3 at the PBE-GGA level of DFT.

* formation energy from raw total energies: -1.04 eV/atom
* D(E_F): 0.0 states/eV per cell
* raw total energy: -56.37 eV for the cell shown

a b c (Å): 4.171 8.861 9.330
angles (deg): 100.56 90.00 90.00
Fractional coordinates of all 12 atoms:
Ag 0.750 0.909 0.417
Ag 0.250 0.091 0.583
La 0.250 0.168 0.224
La 0.750 0.832 0.776
Pb 0.750 0.343 0.831
Pb 0.250 0.657 0.169
Se 0.250 0.601 0.848
Se 0.750 0.235 0.474
Se 0.750 0.399 0.152
Se 0.250 0.089 0.874
Se 0.750 0.911 0.126
Se 0.250 0.765 0.526

Record 5
Computed, not measured: an optimized crystal structure of SrLa2Ag2Pb2 at the PBE-GGA level of DFT.

* D(E_F): 0.9 states/eV per cell
* raw total energy: -27.31 eV for the cell shown
* E_form: -0.379 eV/atom

a b c (Å): 5.024 5.024 9.994
angles (deg): 75.44 75.44 60.00
Fractional coordinates of all 7 atoms:
Pb 0.262 0.262 0.215
Pb 0.738 0.738 0.785
Ag 0.439 0.439 0.682
Ag 0.561 0.561 0.318
Sr 0.000 0.000 0.000
La 0.141 0.141 0.577
La 0.859 0.859 0.423

Record 6
Computed, not measured: an optimized crystal structure of LaTbAgPb at the PBE-GGA level of DFT.

* D(E_F): 3.4 states/eV per cell
* raw total energy: -17.79 eV for the cell shown
* E_form: -0.418 eV/atom

a b c (Å): 5.435 5.435 5.435
angles (deg): 60.00 60.00 60.00
Each line ends with the local moment (μB).
Fractional coordinates of all 4 atoms:
Pb 0.750 0.750 0.750  -0.02
La 0.500 0.500 0.500  0.16
Ag 0.250 0.250 0.250  0.02
Tb 0.000 0.000 0.000  0.25

Question: What is the D(E_F) in the fifth record?
Answer: 0.9 states/eV per cell

Question: Which value of raw total energy does entry 6 give?
Answer: -17.79 eV for the cell shown

Please write out number 5 again, unchanged.
Computed, not measured: an optimized crystal structure of SrLa2Ag2Pb2 at the PBE-GGA level of DFT.

* D(E_F): 0.9 states/eV per cell
* raw total energy: -27.31 eV for the cell shown
* E_form: -0.379 eV/atom

a b c (Å): 5.024 5.024 9.994
angles (deg): 75.44 75.44 60.00
Fractional coordinates of all 7 atoms:
Pb 0.262 0.262 0.215
Pb 0.738 0.738 0.785
Ag 0.439 0.439 0.682
Ag 0.561 0.561 0.318
Sr 0.000 0.000 0.000
La 0.141 0.141 0.577
La 0.859 0.859 0.423